First-principles (PBE) data for a relaxed Ce4Sm2As3N2 crystal, as listed in Alexandria via LeMat-Bulk.

It has space group I4/mmm (No. 139), with a = 4.5819 Å, b = 4.5819 Å, c = 24.6617 Å, α = 90.00°, β = 90.00° and γ = 90.00°. The asymmetric unit holds Ce at (0.0000, 0.5000, 0.0815), Sm at (0.0000, 0.0000, 0.1997), As at (0.0000, 0.0000, 0.3237), As at (0.0000, 0.0000, 0.5000) and N at (0.0000, 0.0000, 0.1040).

As for the total energy: -7.01 eV/atom. The uncorrected formation energy comes out at -1217 meV per atom. Its magnetization is 2.9 μB/f.u.